Compound: MgNi2Cl
Source: Alexandria via LeMat-Bulk
Functional: GGA-PBE
Structure: relaxed

energy above the most stable polymorph in this dataset	0.544	eV/atom
electronic total energy	-3.376	eV per atom
energy relative to the elements, uncorrected	0.375	eV/atom

The structure in CIF format:
```
data_MgNi2Cl
_cell_length_a 6.136
_cell_length_b 6.136
_cell_length_c 6.136
_cell_angle_alpha 90.00
_cell_angle_beta 90.00
_cell_angle_gamma 90.00
_symmetry_space_group_name_H-M 'F m -3 m'
_symmetry_Int_Tables_number 225
_symmetry_space_group_name_Hall '-F 4 2 3'
loop_
_atom_site_label
_atom_site_fract_x
_atom_site_fract_y
_atom_site_fract_z
_atom_site_occupancy
Mg1 0.000 0.000 0.000 1
Ni1 0.250 0.250 0.250 1
Cl1 0.000 0.000 0.500 1
```